[1]
{
  "formula": "NiPSe",
  "functional": "PBE",
  "state": "relaxed",
  "magmom_total_mub_per_fu": 0.00,
  "crystal_system": "monoclinic",
  "raw_formation_energy_ev_per_atom": 0.021,
  "space_group": "Cm, No. 8",
  "total_energy_ev_per_cell": -29.23,
  "n_ef_per_ev_cell": 3.17,
  "cell": [[-1.064, 4.049, -0.736], [-2.796, -0.298, 2.401], [5.111, 0.423, 6.004]],
  "species": ["Ni", "Ni", "P", "P", "Se", "Se"],
  "frac_coords": [[0.687, 0.000, 0.428], [0.687, 0.500, 0.928], [0.163, 0.000, 0.370], [0.163, 0.500, 0.870], [0.762, 0.000, 0.129], [0.762, 0.500, 0.629]]
}

***

[2]
{
  "formula": "Ni2PSe",
  "functional": "PBE",
  "state": "relaxed",
  "magmom_total_mub_per_fu": 0.00,
  "crystal_system": "tetragonal",
  "raw_formation_energy_ev_per_atom": 0.032,
  "space_group": "P4/mmm, No. 123",
  "total_energy_ev_per_cell": -20.33,
  "n_ef_per_ev_cell": 1.85,
  "de_polymorph_mev_per_atom": 312,
  "cell": [[-0.708, -2.838, -0.106], [2.728, -0.650, -0.837], [1.688, -0.645, 5.999]],
  "species": ["Ni", "Ni", "P", "Se"],
  "frac_coords": [[0.000, 0.000, 0.793], [0.000, 0.000, 0.207], [0.500, 0.500, 0.000], [0.500, 0.500, 0.500]]
}

***

[3]
{
  "formula": "Ni2PSe",
  "functional": "PBE",
  "state": "relaxed",
  "magmom_total_mub_per_fu": 0.00,
  "crystal_system": "cubic",
  "raw_formation_energy_ev_per_atom": 0.489,
  "space_group": "F-43m, No. 216",
  "total_energy_ev_per_cell": -18.50,
  "n_ef_per_ev_cell": 4.25,
  "de_polymorph_mev_per_atom": 769,
  "cell": [[0.000, 3.016, 3.016], [3.016, 0.000, 3.016], [3.016, 3.016, 0.000]],
  "species": ["Ni", "Ni", "P", "Se"],
  "frac_coords": [[0.000, 0.000, 0.000], [0.750, 0.750, 0.750], [0.500, 0.500, 0.500], [0.250, 0.250, 0.250]]
}

***

[4]
{
  "formula": "NiPSe",
  "functional": "PBE",
  "state": "relaxed",
  "magmom_total_mub_per_fu": 0.00,
  "crystal_system": "monoclinic",
  "raw_formation_energy_ev_per_atom": -0.205,
  "space_group": "Cm, No. 8",
  "total_energy_ev_per_cell": -30.58,
  "n_ef_per_ev_cell": 2.59,
  "cell": [[-4.736, 0.493, -1.682], [1.100, -0.821, -3.339], [1.469, -5.799, 1.910]],
  "species": ["Ni", "Ni", "P", "P", "Se", "Se"],
  "frac_coords": [[0.387, 0.000, 0.690], [0.387, 0.500, 0.190], [0.183, 0.000, 0.290], [0.183, 0.500, 0.790], [0.671, 0.000, 0.117], [0.671, 0.500, 0.617]]
}

***

[5]
{
  "formula": "NiP3Se",
  "functional": "PBE",
  "state": "relaxed",
  "magmom_total_mub_per_fu": 0.00,
  "crystal_system": "cubic",
  "raw_formation_energy_ev_per_atom": 0.660,
  "space_group": "Pm-3m, No. 221",
  "total_energy_ev_per_cell": -22.19,
  "n_ef_per_ev_cell": 6.01,
  "de_polymorph_mev_per_atom": 0,
  "cell": [[-0.681, -0.377, 4.355], [-0.132, -4.404, -0.402], [4.370, -0.192, 0.667]],
  "species": ["Ni", "Se", "P", "P", "P"],
  "frac_coords": [[0.000, 0.000, 0.000], [0.500, 0.500, 0.500], [0.000, 0.500, 0.000], [0.000, 0.000, 0.500], [0.500, 0.000, 0.000]]
}

***

[6]
{
  "formula": "NiPSe",
  "functional": "PBE",
  "state": "relaxed",
  "magmom_total_mub_per_fu": 0.00,
  "crystal_system": "orthorhombic",
  "raw_formation_energy_ev_per_atom": -0.084,
  "space_group": "Imm2, No. 44",
  "total_energy_ev_per_cell": -29.86,
  "n_ef_per_ev_cell": 2.52,
  "cell": [[2.700, 0.000, 0.000], [0.000, 3.396, 0.000], [0.000, 0.000, 11.066]],
  "species": ["Ni", "Ni", "P", "P", "Se", "Se"],
  "frac_coords": [[0.000, 0.500, 0.650], [0.500, 0.000, 0.150], [0.000, 0.500, 0.092], [0.500, 0.000, 0.592], [0.000, 0.500, 0.879], [0.500, 0.000, 0.379]]
}

***

[7]
{
  "formula": "NiPSe",
  "functional": "PBE",
  "state": "relaxed",
  "magmom_total_mub_per_fu": 0.00,
  "crystal_system": "monoclinic",
  "raw_formation_energy_ev_per_atom": -0.038,
  "space_group": "Pm, No. 6",
  "total_energy_ev_per_cell": -14.79,
  "n_ef_per_ev_cell": 1.41,
  "cell": [[2.728, 0.000, 0.000], [0.000, 2.773, 0.000], [-0.072, 0.000, 7.097]],
  "species": ["Ni", "P", "Se"],
  "frac_coords": [[0.303, 0.500, 0.119], [0.807, 0.000, 0.302], [0.795, 0.500, 0.820]]
}

***

[8]
{
  "formula": "Ni2PSe",
  "functional": "PBE",
  "state": "relaxed",
  "magmom_total_mub_per_fu": 0.00,
  "crystal_system": "orthorhombic",
  "raw_formation_energy_ev_per_atom": -0.214,
  "space_group": "Amm2, No. 38",
  "total_energy_ev_per_cell": -21.31,
  "n_ef_per_ev_cell": 2.20,
  "de_polymorph_mev_per_atom": 67,
  "cell": [[1.216, 2.683, -2.773], [-3.664, -1.703, -0.199], [-1.670, 3.305, 2.466]],
  "species": ["Ni", "Ni", "P", "Se"],
  "frac_coords": [[0.024, 0.976, 0.000], [0.226, 0.774, 0.500], [0.345, 0.655, 0.000], [0.898, 0.102, 0.500]]
}

***

[9]
{
  "formula": "Ni2PSe",
  "functional": "PBE",
  "state": "relaxed",
  "magmom_total_mub_per_fu": 0.00,
  "crystal_system": "monoclinic",
  "raw_formation_energy_ev_per_atom": -0.193,
  "space_group": "C2/m, No. 12",
  "total_energy_ev_per_cell": -21.23,
  "n_ef_per_ev_cell": 2.65,
  "de_polymorph_mev_per_atom": 88,
  "cell": [[1.722, 3.027, 0.134], [-1.722, 3.027, 0.134], [0.000, 1.703, 5.493]],
  "species": ["Ni", "Ni", "P", "Se"],
  "frac_coords": [[0.267, 0.267, 0.695], [0.733, 0.733, 0.305], [0.000, 0.000, 0.500], [0.500, 0.500, 0.000]]
}

***

[10]
{
  "formula": "NiPSe",
  "functional": "PBE",
  "state": "relaxed",
  "magmom_total_mub_per_fu": 0.00,
  "crystal_system": "monoclinic",
  "raw_formation_energy_ev_per_atom": -0.100,
  "space_group": "Cm, No. 8",
  "total_energy_ev_per_cell": -29.95,
  "n_ef_per_ev_cell": 1.94,
  "cell": [[5.103, 0.000, -0.006], [0.000, 2.791, 0.000], [-2.387, 0.000, 7.367]],
  "species": ["Ni", "Ni", "P", "P", "Se", "Se"],
  "frac_coords": [[0.233, 0.000, 0.601], [0.233, 0.500, 0.101], [0.289, 0.000, 0.327], [0.289, 0.500, 0.827], [0.719, 0.000, 0.557], [0.719, 0.500, 0.057]]
}

***

[11]
{
  "formula": "Ni2PSe",
  "functional": "PBE",
  "state": "relaxed",
  "magmom_total_mub_per_fu": 0.00,
  "crystal_system": "tetragonal",
  "raw_formation_energy_ev_per_atom": -0.163,
  "space_group": "I-42d, No. 122",
  "total_energy_ev_per_cell": -42.22,
  "n_ef_per_ev_cell": 6.01,
  "de_polymorph_mev_per_atom": 117,
  "cell": [[5.124, 0.000, 0.000], [0.000, 5.124, 0.000], [2.562, 2.562, 5.296]],
  "species": ["Ni", "Ni", "Ni", "Ni", "Se", "Se", "P", "P"],
  "frac_coords": [[0.598, 0.125, 0.250], [0.152, 0.625, 0.250], [0.375, 0.402, 0.750], [0.875, 0.848, 0.750], [0.000, 0.000, 0.000], [0.750, 0.250, 0.500], [0.500, 0.500, 0.000], [0.250, 0.750, 0.500]]
}

***

[12]
{
  "formula": "NiPSe3",
  "functional": "PBE",
  "state": "relaxed",
  "magmom_total_mub_per_fu": 1.12,
  "crystal_system": "monoclinic",
  "raw_formation_energy_ev_per_atom": -0.124,
  "space_group": "C2/m, No. 12",
  "total_energy_ev_per_cell": -44.53,
  "n_ef_per_ev_cell": 7.17,
  "cell": [[6.178, 0.000, -0.002], [-3.092, 5.349, -0.002], [1.024, 1.775, 7.035]],
  "species": ["Ni", "Ni", "P", "P", "Se", "Se", "Se", "Se", "Se", "Se"],
  "frac_coords": [[0.667, 0.333, 0.000], [0.333, 0.667, 0.000], [0.053, 0.053, 0.841], [0.947, 0.947, 0.159], [0.715, 0.715, 0.781], [0.285, 0.285, 0.219], [0.073, 0.430, 0.781], [0.430, 0.073, 0.781], [0.927, 0.570, 0.219], [0.570, 0.927, 0.219]]
}